Run one
# BeTlZn2 | Alexandria | PBEsol | optimized geometry
# theoretical density: 8.691 Mg/m³
# space-group type: P4/mmm, No. 123
# crystal system: tetragonal
data_BeTlZn2
_chemical_formula_sum 'Be1 Tl1 Zn2'
_space_group_name_H-M_alt 'P 1'
_space_group_IT_number 1
_cell_length_a 2.891
_cell_length_b 2.891
_cell_length_c 7.867
_cell_angle_alpha 90.00
_cell_angle_beta 90.00
_cell_angle_gamma 90.00
loop_
_space_group_symop_operation_xyz
'x,y,z'
loop_
_atom_site_label
_atom_site_type_symbol
_atom_site_fract_x
_atom_site_fract_y
_atom_site_fract_z
_atom_site_occupancy
Be1 Be 0.500 0.500 0.000 1
Tl1 Tl 0.500 0.500 0.500 1
Zn1 Zn 0.000 0.000 0.823 1
Zn2 Zn 0.000 0.000 0.177 1

---

Run two
# BeTlZn2 | Alexandria | PBEsol | optimized geometry
# theoretical density: 8.404 Mg/m³
# space-group type: Imm2, No. 44
# crystal system: orthorhombic
data_BeTlZn2
_chemical_formula_sum 'Be1 Tl1 Zn2'
_space_group_name_H-M_alt 'P 1'
_space_group_IT_number 1
_cell_length_a 2.846
_cell_length_b 5.350
_cell_length_c 5.350
_cell_angle_alpha 61.39
_cell_angle_beta 74.58
_cell_angle_gamma 74.58
loop_
_space_group_symop_operation_xyz
'x,y,z'
loop_
_atom_site_label
_atom_site_type_symbol
_atom_site_fract_x
_atom_site_fract_y
_atom_site_fract_z
_atom_site_occupancy
Be1 Be 0.478 0.522 0.522 1
Tl1 Tl 0.235 0.265 0.265 1
Zn1 Zn 0.021 0.979 0.979 1
Zn2 Zn 0.766 0.734 0.734 1

---

Most stable to least stable: run one, run two

---

Run one
# BeTl2Zn | Alexandria | PBEsol | optimized geometry
# theoretical density: 9.952 Mg/m³
# space-group type: Cmmm, No. 65
# crystal system: orthorhombic
data_BeTl2Zn
_chemical_formula_sum 'Be1 Tl2 Zn1'
_space_group_name_H-M_alt 'P 1'
_space_group_IT_number 1
_cell_length_a 3.295
_cell_length_b 3.295
_cell_length_c 7.645
_cell_angle_alpha 90.00
_cell_angle_beta 90.00
_cell_angle_gamma 103.75
loop_
_space_group_symop_operation_xyz
'x,y,z'
loop_
_atom_site_label
_atom_site_type_symbol
_atom_site_fract_x
_atom_site_fract_y
_atom_site_fract_z
_atom_site_occupancy
Be1 Be 0.500 0.500 0.000 1
Tl1 Tl 0.000 0.000 0.228 1
Tl2 Tl 0.000 0.000 0.772 1
Zn1 Zn 0.500 0.500 0.500 1

---

Run two
# BeTl2Zn | Alexandria | PBEsol | optimized geometry
# theoretical density: 9.922 Mg/m³
# space-group type: Immm, No. 71
# crystal system: orthorhombic
data_BeTl2Zn
_chemical_formula_sum 'Be1 Tl2 Zn1'
_space_group_name_H-M_alt 'P 1'
_space_group_IT_number 1
_cell_length_a 4.053
_cell_length_b 5.062
_cell_length_c 5.062
_cell_angle_alpha 61.68
_cell_angle_beta 66.40
_cell_angle_gamma 66.40
loop_
_space_group_symop_operation_xyz
'x,y,z'
loop_
_atom_site_label
_atom_site_type_symbol
_atom_site_fract_x
_atom_site_fract_y
_atom_site_fract_z
_atom_site_occupancy
Be1 Be 0.000 0.500 0.500 1
Tl1 Tl 0.271 0.729 0.729 1
Tl2 Tl 0.729 0.271 0.271 1
Zn1 Zn 0.500 0.000 0.000 1

---

Most stable to least stable: run one, run two

---

Run one
# ZrBeTl2 | Alexandria | PBEsol | optimized geometry
# theoretical density: 10.293 Mg/m³
# space-group type: Fm-3m, No. 225
# crystal system: cubic
data_ZrBeTl2
_chemical_formula_sum 'Zr1 Be1 Tl2'
_space_group_name_H-M_alt 'P 1'
_space_group_IT_number 1
_cell_length_a 4.879
_cell_length_b 4.879
_cell_length_c 4.879
_cell_angle_alpha 60.00
_cell_angle_beta 60.00
_cell_angle_gamma 60.00
loop_
_space_group_symop_operation_xyz
'x,y,z'
loop_
_atom_site_label
_atom_site_type_symbol
_atom_site_fract_x
_atom_site_fract_y
_atom_site_fract_z
_atom_site_occupancy
Be1 Be 0.000 0.000 0.000 1
Tl1 Tl 0.750 0.750 0.750 1
Tl2 Tl 0.250 0.250 0.250 1
Zr1 Zr 0.500 0.500 0.500 1

---

Run two
# ZrBeTl2 | Alexandria | PBEsol | optimized geometry
# theoretical density: 10.475 Mg/m³
# space-group type: R-3m, No. 166
# crystal system: trigonal
data_ZrBeTl2
_chemical_formula_sum 'Zr1 Be1 Tl2'
_space_group_name_H-M_alt 'P 1'
_space_group_IT_number 1
_cell_length_a 3.198
_cell_length_b 3.198
_cell_length_c 9.296
_cell_angle_alpha 80.10
_cell_angle_beta 80.10
_cell_angle_gamma 60.00
loop_
_space_group_symop_operation_xyz
'x,y,z'
loop_
_atom_site_label
_atom_site_type_symbol
_atom_site_fract_x
_atom_site_fract_y
_atom_site_fract_z
_atom_site_occupancy
Be1 Be 0.000 0.000 0.000 1
Tl1 Tl 0.261 0.261 0.218 1
Tl2 Tl 0.739 0.739 0.782 1
Zr1 Zr 0.500 0.500 0.500 1

---

Most stable to least stable: run two, run one

---

Run one
# Zr2BeTl | Alexandria | PBEsol | optimized geometry
# theoretical density: 8.847 Mg/m³
# space-group type: P4/mmm, No. 123
# crystal system: tetragonal
data_Zr2BeTl
_chemical_formula_sum 'Zr2 Be1 Tl1'
_space_group_name_H-M_alt 'P 1'
_space_group_IT_number 1
_cell_length_a 3.021
_cell_length_b 3.021
_cell_length_c 8.144
_cell_angle_alpha 90.00
_cell_angle_beta 90.00
_cell_angle_gamma 90.03
loop_
_space_group_symop_operation_xyz
'x,y,z'
loop_
_atom_site_label
_atom_site_type_symbol
_atom_site_fract_x
_atom_site_fract_y
_atom_site_fract_z
_atom_site_occupancy
Be1 Be 0.500 0.500 0.250 1
Tl1 Tl 0.500 0.500 0.750 1
Zr1 Zr 0.000 0.000 0.044 1
Zr2 Zr 0.000 0.000 0.456 1

---

Run two
# Zr2BeTl | Alexandria | PBEsol | optimized geometry
# theoretical density: 8.566 Mg/m³
# space-group type: Fm-3m, No. 225
# crystal system: cubic
data_Zr2BeTl
_chemical_formula_sum 'Zr2 Be1 Tl1'
_space_group_name_H-M_alt 'P 1'
_space_group_IT_number 1
_cell_length_a 4.770
_cell_length_b 4.770
_cell_length_c 4.770
_cell_angle_alpha 60.00
_cell_angle_beta 60.00
_cell_angle_gamma 60.00
loop_
_space_group_symop_operation_xyz
'x,y,z'
loop_
_atom_site_label
_atom_site_type_symbol
_atom_site_fract_x
_atom_site_fract_y
_atom_site_fract_z
_atom_site_occupancy
Be1 Be 0.000 0.000 0.000 1
Tl1 Tl 0.500 0.500 0.500 1
Zr1 Zr 0.250 0.250 0.250 1
Zr2 Zr 0.750 0.750 0.750 1

---

Most stable to least stable: run one, run two

---

Run one
# BeW2 | Alexandria | PBEsol | optimized geometry
# theoretical density: 15.582 Mg/m³
# space-group type: P6_3/mmc, No. 194
# crystal system: hexagonal
data_BeW2
_chemical_formula_sum 'Be2 W4'
_space_group_name_H-M_alt 'P 1'
_space_group_IT_number 1
_cell_length_a 4.257
_cell_length_b 4.257
_cell_length_c 5.115
_cell_angle_alpha 90.00
_cell_angle_beta 90.00
_cell_angle_gamma 120.00
loop_
_space_group_symop_operation_xyz
'x,y,z'
loop_
_atom_site_label
_atom_site_type_symbol
_atom_site_fract_x
_atom_site_fract_y
_atom_site_fract_z
_atom_site_occupancy
Be1 Be 0.667 0.333 0.750 1
Be2 Be 0.333 0.667 0.250 1
W1 W 0.000 0.000 0.000 1
W2 W 0.000 0.000 0.500 1
W3 W 0.667 0.333 0.250 1
W4 W 0.333 0.667 0.750 1

---

Run two
# BeW2 | Alexandria | PBEsol | optimized geometry
# theoretical density: 14.820 Mg/m³
# space-group type: P-3m1, No. 164
# crystal system: trigonal
data_BeW2
_chemical_formula_sum 'Be1 W2'
_space_group_name_H-M_alt 'P 1'
_space_group_IT_number 1
_cell_length_a 2.638
_cell_length_b 4.298
_cell_length_c 4.298
_cell_angle_alpha 120.00
_cell_angle_beta 90.00
_cell_angle_gamma 90.00
loop_
_space_group_symop_operation_xyz
'x,y,z'
loop_
_atom_site_label
_atom_site_type_symbol
_atom_site_fract_x
_atom_site_fract_y
_atom_site_fract_z
_atom_site_occupancy
Be1 Be 0.000 0.000 0.000 1
W1 W 0.336 0.667 0.333 1
W2 W 0.664 0.333 0.667 1

---

Most stable to least stable: run two, run one

---

Run one
# BeW3 | Alexandria | PBEsol | optimized geometry
# theoretical density: 15.950 Mg/m³
# space-group type: Pmmm, No. 47
# crystal system: orthorhombic
data_BeW3
_chemical_formula_sum 'Be1 W3'
_space_group_name_H-M_alt 'P 1'
_space_group_IT_number 1
_cell_length_a 2.635
_cell_length_b 4.038
_cell_length_c 5.484
_cell_angle_alpha 90.00
_cell_angle_beta 90.00
_cell_angle_gamma 90.00
loop_
_space_group_symop_operation_xyz
'x,y,z'
loop_
_atom_site_label
_atom_site_type_symbol
_atom_site_fract_x
_atom_site_fract_y
_atom_site_fract_z
_atom_site_occupancy
Be1 Be 0.000 0.000 0.000 1
W1 W 0.500 0.500 0.766 1
W2 W 0.000 0.000 0.500 1
W3 W 0.500 0.500 0.234 1

---

Run two
# BeW3 | Alexandria | PBEsol | optimized geometry
# theoretical density: 16.053 Mg/m³
# space-group type: P2/m, No. 10
# crystal system: monoclinic
data_BeW3
_chemical_formula_sum 'Be1 W3'
_space_group_name_H-M_alt 'P 1'
_space_group_IT_number 1
_cell_length_a 2.664
_cell_length_b 4.343
_cell_length_c 5.083
_cell_angle_alpha 90.00
_cell_angle_beta 99.69
_cell_angle_gamma 90.00
loop_
_space_group_symop_operation_xyz
'x,y,z'
loop_
_atom_site_label
_atom_site_type_symbol
_atom_site_fract_x
_atom_site_fract_y
_atom_site_fract_z
_atom_site_occupancy
Be1 Be 0.000 0.000 0.000 1
W1 W 0.239 0.500 0.754 1
W2 W 0.500 0.000 0.500 1
W3 W 0.761 0.500 0.246 1

---

Most stable to least stable: run two, run one